The following is a GGA-PBE calculation of an optimized crystal structure of Ba5Mg18Si13, from Alexandria.

## Properties
The calculation puts the energy at -3.31 eV per atom. The value obtained for the energy relative to the elements, uncorrected is -286 meV per atom. The density of states at the Fermi level is 5.3 states/eV/f.u.

a = 4.5056 Å, b = 14.5502 Å, c = 14.5502 Å
α = 120.00°, β = 90.00°, γ = 90.00°
Positions (direct):
Ba (0.0000, 0.3333, 0.6667)
Ba (0.0000, 0.6667, 0.3333)
Ba (0.5000, 0.0000, 0.1802)
Ba (0.5000, 0.1802, 0.0000)
Ba (0.5000, 0.8198, 0.8198)
Mg (0.5000, 0.0000, 0.7223)
Mg (0.5000, 0.7223, 0.0000)
Mg (0.5000, 0.2777, 0.2777)
Mg (0.5000, 0.4835, 0.1219)
Mg (0.5000, 0.6384, 0.5165)
Mg (0.5000, 0.8781, 0.3616)
Mg (0.5000, 0.1219, 0.4835)
Mg (0.5000, 0.5165, 0.6384)
Mg (0.5000, 0.3616, 0.8781)
Mg (0.0000, 0.0000, 0.5582)
Mg (0.0000, 0.5582, 0.0000)
Mg (0.0000, 0.4418, 0.4418)
Mg (0.0000, 0.1949, 0.3726)
Mg (0.0000, 0.1777, 0.8051)
Mg (0.0000, 0.6274, 0.8223)
Mg (0.0000, 0.3726, 0.1949)
Mg (0.0000, 0.8051, 0.1777)
Mg (0.0000, 0.8223, 0.6274)
Si (0.0000, 0.0000, 0.0000)
Si (0.0000, 0.0000, 0.8341)
Si (0.0000, 0.8341, 0.0000)
Si (0.0000, 0.1659, 0.1659)
Si (0.0000, 0.0000, 0.3707)
Si (0.0000, 0.3707, 0.0000)
Si (0.0000, 0.6293, 0.6293)
Si (0.5000, 0.6916, 0.1666)
Si (0.5000, 0.4750, 0.3084)
Si (0.5000, 0.8334, 0.5250)
Si (0.5000, 0.1666, 0.6916)
Si (0.5000, 0.3084, 0.4750)
Si (0.5000, 0.5250, 0.8334)